Record 1
Material: Tb2Nd5Tm12
Method: DFT, PBE
State: optimized geometry

Output
space-group type	C2/m (12)
ΔE_f	0.179	eV/atom
electronic total energy	-4.39	eV/atom
total magnetic moment	0.0	μB/cell

Cell lengths 7.001, 9.758, 10.329 Å; angles 70.36, 90.00, 111.02 degrees
Fractional positions:
Tm1 0.585 0.675 0.521
Nd1 0.812 0.624 0.182
Nd2 0.682 0.364 0.790
Tb1 0.728 0.000 0.000
Tb2 0.272 0.000 0.000
Tm2 0.497 0.995 0.674
Tm3 0.910 0.325 0.479
Nd3 0.000 0.000 0.500
Tm4 0.911 0.316 0.132
Tm5 0.090 0.675 0.521
Tm6 0.025 0.050 0.753
Tm7 0.405 0.316 0.132
Tm8 0.415 0.325 0.479
Tm9 0.595 0.684 0.868
Tm10 0.975 0.950 0.247
Nd4 0.318 0.636 0.210
Tm11 0.503 0.005 0.326
Nd5 0.188 0.376 0.818
Tm12 0.089 0.684 0.868


Record 2
Material: BaNiW
Method: DFT, PBE
State: optimized geometry

Output
space-group type	Pnma (62)
ΔE_f	0.831	eV/atom
electronic total energy	-6.05	eV/atom
total magnetic moment	0.0	μB/cell

Cell lengths 5.373, 4.477, 10.975 Å; angles 90.00, 90.00, 90.00 degrees
Fractional positions:
Ba1 0.998 0.250 0.377
Ni1 0.998 0.250 0.052
Ni2 0.502 0.750 0.552
Ba2 0.002 0.750 0.623
Ba3 0.498 0.250 0.123
W1 0.998 0.750 0.177
W2 0.002 0.250 0.823
Ni3 0.498 0.250 0.448
W3 0.502 0.250 0.677
Ni4 0.002 0.750 0.948
Ba4 0.502 0.750 0.877
W4 0.498 0.750 0.323


Record 3
Material: CePuIn
Method: DFT, PBE
State: optimized geometry

Output
space-group type	I4mm (107)
ΔE_f	-0.163	eV/atom
electronic total energy	-7.83	eV/atom
total magnetic moment	7.0	μB/cell

Cell lengths 3.884, 3.884, 5.879 Å; angles 109.29, 109.29, 90.00 degrees
Fractional positions:
Pu1 0.962 0.962 0.923
In1 0.285 0.285 0.570
Ce1 0.604 0.604 0.207


Which formula does entry 3 have? CePuIn